Material: NiBi2Pd
Method: DFT, PBE
State: optimized geometry

Cell: 7.258 7.258 6.948 Å, 90.00 90.00 90.00°
Positions (direct):
Ni 0.000 0.000 0.000
Ni 0.000 0.500 0.250
Ni 0.500 0.000 0.750
Ni 0.500 0.500 0.500
Bi 0.230 0.750 0.125
Bi 0.250 0.230 0.875
Bi 0.250 0.270 0.375
Bi 0.270 0.750 0.625
Bi 0.730 0.250 0.625
Bi 0.750 0.730 0.375
Bi 0.750 0.770 0.875
Bi 0.770 0.250 0.125
Pd 0.000 0.000 0.500
Pd 0.000 0.500 0.750
Pd 0.500 0.000 0.250
Pd 0.500 0.500 0.000

Computed properties:
space-group type	I-42d
polymorph energy (0 for the lowest one)	248	meV/atom
formation energy from the elements	0.178	eV/atom

=====

Material: Sr2InFeN
Method: DFT, PBE
State: optimized geometry

Cell: 5.638 5.638 3.614 Å, 90.00 90.00 90.00°
Positions (direct):
Sr 0.000 0.500 0.000
Sr 0.500 0.000 0.000
In 0.000 0.000 0.500
Fe 0.500 0.500 0.500
N 0.500 0.500 0.000

Computed properties:
space-group type	P4/mmm
energy relative to the elements, uncorrected	-0.318	eV/atom

=====

Material: MgTlW2
Method: DFT, PBE
State: optimized geometry

Cell: 3.931 3.931 4.668 Å, 90.00 90.00 90.00°
Positions (direct):
Mg 0.000 0.000 0.000
Tl 0.500 0.500 0.000
W 0.000 0.500 0.500
W 0.500 0.000 0.500

Computed properties:
space-group type	P4/mmm
polymorph energy (0 for the lowest one)	281	meV/atom
formation energy from the elements	0.746	eV/atom

=====

Material: LiLaHoPt
Method: DFT, PBE
State: optimized geometry

Cell: 7.225 7.225 7.225 Å, 90.00 90.00 90.00°
Positions (direct):
Li 0.000 0.000 0.000
Li 0.000 0.500 0.500
Li 0.500 0.000 0.500
Li 0.500 0.500 0.000
La 0.250 0.250 0.250
La 0.250 0.750 0.750
La 0.750 0.250 0.750
La 0.750 0.750 0.250
Ho 0.250 0.250 0.750
Ho 0.250 0.750 0.250
Ho 0.750 0.250 0.250
Ho 0.750 0.750 0.750
Pt 0.000 0.000 0.500
Pt 0.000 0.500 0.000
Pt 0.500 0.000 0.000
Pt 0.500 0.500 0.500

Computed properties:
space-group type	F-43m
formation energy from the elements	-0.576	eV/atom

=====

Material: OsRuPb2
Method: DFT, PBE
State: optimized geometry

Cell: 3.044 3.044 32.704 Å, 90.00 90.00 120.00°
Positions (direct):
Os 0.000 0.000 0.000
Os 0.333 0.667 0.667
Os 0.667 0.333 0.333
Ru 0.000 0.000 0.726
Ru 0.333 0.667 0.392
Ru 0.667 0.333 0.059
Pb 0.000 0.000 0.256
Pb 0.000 0.000 0.468
Pb 0.333 0.667 0.135
Pb 0.333 0.667 0.923
Pb 0.667 0.333 0.590
Pb 0.667 0.333 0.801

Computed properties:
space-group type	R3m
polymorph energy (0 for the lowest one)	181	meV/atom
formation energy from the elements	0.641	eV/atom

=====

Material: B5C7
Method: DFT, PBE
State: optimized geometry

Cell: 6.842 6.842 4.620 Å, 103.63 103.63 21.83°
Positions (direct):
B 0.000 0.000 0.000
B 0.006 0.006 0.641
B 0.130 0.130 0.847
B 0.197 0.197 0.526
B 0.704 0.704 0.066
C 0.322 0.322 0.642
C 0.360 0.360 0.336
C 0.476 0.476 0.454
C 0.534 0.534 0.218
C 0.648 0.648 0.339
C 0.825 0.825 0.142
C 0.863 0.863 0.828

Computed properties:
space-group type	Cm
polymorph energy (0 for the lowest one)	142	meV/atom
formation energy from the elements	0.400	eV/atom

=====

Material: CaNi2Ge2
Method: DFT, PBE
State: optimized geometry

Cell: 7.356 7.356 2.916 Å, 90.00 90.00 90.00°
Positions (direct):
Ca 0.000 0.000 0.000
Ca 0.500 0.500 0.000
Ni 0.125 0.375 0.000
Ni 0.375 0.875 0.000
Ni 0.625 0.125 0.000
Ni 0.875 0.625 0.000
Ge 0.155 0.655 0.500
Ge 0.345 0.155 0.500
Ge 0.655 0.845 0.500
Ge 0.845 0.345 0.500

Computed properties:
space-group type	P4/mbm
formation energy from the elements	-0.236	eV/atom

=====

Material: K2LiSb
Method: DFT, PBE
State: optimized geometry

Cell: 4.936 4.936 23.568 Å, 90.00 90.00 90.00°
Positions (direct):
K 0.250 0.250 0.125
K 0.250 0.250 0.625
K 0.250 0.750 0.375
K 0.250 0.750 0.875
K 0.750 0.250 0.375
K 0.750 0.250 0.875
K 0.750 0.750 0.125
K 0.750 0.750 0.625
Li 0.000 0.000 0.000
Li 0.000 0.500 0.250
Li 0.500 0.000 0.750
Li 0.500 0.500 0.500
Sb 0.000 0.000 0.500
Sb 0.000 0.500 0.750
Sb 0.500 0.000 0.250
Sb 0.500 0.500 0.000

Computed properties:
space-group type	I-42d
polymorph energy (0 for the lowest one)	453	meV/atom
energy relative to the elements, uncorrected	-0.027	eV/atom

=====

Material: BaHgGe
Method: DFT, PBE
State: optimized geometry

Cell: 4.709 4.709 4.936 Å, 90.00 90.00 120.00°
Positions (direct):
Ba 0.000 0.000 0.000
Hg 0.667 0.333 0.500
Ge 0.333 0.667 0.500

Computed properties:
space-group type	P-6m2
formation energy from the elements	-0.485	eV/atom

=====

Material: CaMn2Au
Method: DFT, PBE
State: optimized geometry

Cell: 6.718 6.718 6.718 Å, 90.00 90.00 90.00°
Positions (direct):
Ca 0.000 0.000 0.000
Ca 0.000 0.500 0.500
Ca 0.500 0.000 0.500
Ca 0.500 0.500 0.000
Mn 0.250 0.250 0.250
Mn 0.250 0.250 0.750
Mn 0.250 0.750 0.250
Mn 0.250 0.750 0.750
Mn 0.750 0.250 0.250
Mn 0.750 0.250 0.750
Mn 0.750 0.750 0.250
Mn 0.750 0.750 0.750
Au 0.000 0.000 0.500
Au 0.000 0.500 0.000
Au 0.500 0.000 0.000
Au 0.500 0.500 0.500

Computed properties:
space-group type	Fm-3m
formation energy from the elements	0.224	eV/atom

=====

Material: TbNd6
Method: DFT, PBE
State: optimized geometry

Cell: 8.203 8.203 8.203 Å, 90.00 90.00 90.00°
Positions (direct):
Tb 0.000 0.000 0.000
Tb 0.500 0.500 0.500
Nd 0.000 0.250 0.500
Nd 0.000 0.500 0.250
Nd 0.000 0.500 0.750
Nd 0.000 0.750 0.500
Nd 0.250 0.000 0.500
Nd 0.250 0.500 0.000
Nd 0.500 0.000 0.250
Nd 0.500 0.000 0.750
Nd 0.500 0.250 0.000
Nd 0.500 0.750 0.000
Nd 0.750 0.000 0.500
Nd 0.750 0.500 0.000

Computed properties:
space-group type	Im-3m
polymorph energy (0 for the lowest one)	996	meV/atom
formation energy from the elements	1.232	eV/atom

=====

Material: Sm4AlCu
Method: DFT, PBE
State: optimized geometry

Cell: 8.261 8.261 5.714 Å, 101.27 101.27 115.79°
Positions (direct):
Sm 0.071 0.695 0.926
Sm 0.218 0.369 0.656
Sm 0.305 0.929 0.574
Sm 0.369 0.218 0.156
Sm 0.631 0.782 0.844
Sm 0.695 0.071 0.426
Sm 0.782 0.631 0.344
Sm 0.929 0.305 0.074
Al 0.380 0.620 0.250
Al 0.620 0.380 0.750
Cu 0.002 0.998 0.250
Cu 0.998 0.002 0.750

Computed properties:
space-group type	C2/c
formation energy from the elements	-0.120	eV/atom

=====

Material: ZrAgP2S
Method: DFT, PBE
State: optimized geometry

Cell: 5.056 5.056 4.950 Å, 90.00 90.00 90.00°
Positions (direct):
Zr 0.000 0.000 0.000
Ag 0.500 0.500 0.500
P 0.000 0.500 0.000
P 0.500 0.000 0.000
S 0.000 0.000 0.500

Computed properties:
space-group type	P4/mmm
polymorph energy (0 for the lowest one)	0	meV/atom
energy relative to the elements, uncorrected	0.266	eV/atom

=====

Material: PaAu2S4
Method: DFT, PBE
State: optimized geometry

Cell: 7.205 7.205 8.437 Å, 119.20 119.20 72.63°
Positions (direct):
Pa 0.000 0.000 0.000
Pa 0.985 0.015 0.500
Au 0.492 0.008 0.751
Au 0.492 0.507 0.750
Au 0.493 0.508 0.250
Au 0.992 0.508 0.249
S 0.177 0.806 0.741
S 0.194 0.823 0.259
S 0.266 0.319 0.750
S 0.304 0.281 0.249
S 0.681 0.734 0.250
S 0.719 0.696 0.751
S 0.791 0.193 0.241
S 0.807 0.209 0.759

Computed properties:
space-group type	C2
energy relative to the elements, uncorrected	-0.626	eV/atom

=====

Material: SmSnN
Method: DFT, PBE
State: optimized geometry

Cell: 4.207 4.207 8.092 Å, 90.00 90.00 90.00°
Positions (direct):
Sm 0.250 0.250 0.120
Sm 0.750 0.750 0.880
Sn 0.250 0.250 0.565
Sn 0.750 0.750 0.435
N 0.250 0.750 0.000
N 0.750 0.250 0.000

Computed properties:
space-group type	P4/nmm
polymorph energy (0 for the lowest one)	0	meV/atom
energy relative to the elements, uncorrected	-0.662	eV/atom

=====

Material: YBeIn
Method: DFT, PBE
State: optimized geometry

Cell: 3.263 3.263 11.646 Å, 90.00 90.00 90.00°
Positions (direct):
Y 0.000 0.000 0.000
Y 0.500 0.500 0.500
Be 0.000 0.000 0.659
Be 0.500 0.500 0.159
In 0.000 0.000 0.290
In 0.500 0.500 0.790

Computed properties:
space-group type	I4mm
polymorph energy (0 for the lowest one)	277	meV/atom
formation energy from the elements	0.009	eV/atom

=====

Material: Mo2HIrRu
Method: DFT, PBE
State: optimized geometry

Cell: 3.984 3.984 3.891 Å, 90.00 90.00 90.00°
Positions (direct):
Mo 0.000 0.500 0.000
Mo 0.500 0.000 0.000
H 0.000 0.000 0.000
Ir 0.500 0.500 0.500
Ru 0.000 0.000 0.500

Computed properties:
space-group type	P4/mmm
polymorph energy (0 for the lowest one)	0	meV/atom

=====

Material: SmY3Er6
Method: DFT, PBE
State: optimized geometry

Cell: 6.851 6.851 6.851 Å, 91.20 91.20 91.20°
Positions (direct):
Sm 0.000 0.000 0.000
Y 0.258 0.258 0.258
Y 0.502 0.502 0.502
Y 0.756 0.756 0.756
Er 0.160 0.824 0.485
Er 0.325 0.661 0.986
Er 0.485 0.160 0.824
Er 0.661 0.986 0.325
Er 0.824 0.485 0.160
Er 0.986 0.325 0.661

Computed properties:
space-group type	R3
polymorph energy (0 for the lowest one)	159	meV/atom
formation energy from the elements	0.301	eV/atom

=====

Material: Li4Sm3PaTe8
Method: DFT, PBE
State: optimized geometry

Cell: 8.727 8.727 8.727 Å, 60.14 60.14 60.14°
Positions (direct):
Li 0.000 0.000 0.000
Li 0.000 0.500 0.500
Li 0.500 0.000 0.500
Li 0.500 0.500 0.000
Sm 0.000 0.000 0.500
Sm 0.000 0.500 0.000
Sm 0.500 0.000 0.000
Pa 0.500 0.500 0.500
Te 0.248 0.248 0.743
Te 0.248 0.743 0.248
Te 0.254 0.254 0.254
Te 0.257 0.752 0.752
Te 0.743 0.248 0.248
Te 0.746 0.746 0.746
Te 0.752 0.257 0.752
Te 0.752 0.752 0.257

Computed properties:
space-group type	R-3m
energy relative to the elements, uncorrected	-1.174	eV/atom

=====

Material: TbEuCdRu
Method: DFT, PBE
State: optimized geometry

Cell: 7.231 7.231 7.231 Å, 90.00 90.00 90.00°
Positions (direct):
Tb 0.000 0.000 0.000
Tb 0.000 0.500 0.500
Tb 0.500 0.000 0.500
Tb 0.500 0.500 0.000
Eu 0.000 0.000 0.500
Eu 0.000 0.500 0.000
Eu 0.500 0.000 0.000
Eu 0.500 0.500 0.500
Cd 0.250 0.250 0.750
Cd 0.250 0.750 0.250
Cd 0.750 0.250 0.250
Cd 0.750 0.750 0.750
Ru 0.250 0.250 0.250
Ru 0.250 0.750 0.750
Ru 0.750 0.250 0.750
Ru 0.750 0.750 0.250

Computed properties:
space-group type	F-43m
formation energy from the elements	-0.107	eV/atom

=====

The records above yield magnetic moment values of 0.000; 0.183; 0.000; 0.000; 0.000; 0.000; 0.000; 0.000; 0.000; 2.037; 0.000; 0.000; 0.000; 0.000; 0.000; 0.076; 0.000; 0.003; 0.106; 1.730 μB/atom, respectively.
The records above yield density of states at the Fermi level values of 2.9; 2.9; 3.1; 3.5; 2.8; 2.1; 1.3; 0.6; 1.3; 7.5; 5.8; 6.4; 4.8; 3.9; 2.6; 1.3; 2.8; 20.1; 9.3; 5.0 states/eV/f.u., respectively.